Material: La3PbO
Method: DFT, GGA-PBE
State: optimized geometry

Cell and atoms, written as CIF:
```
data_La3PbO
_cell_length_a 6.578
_cell_length_b 13.606
_cell_length_c 6.956
_cell_angle_alpha 90.00
_cell_angle_beta 90.00
_cell_angle_gamma 90.00
_space_group_name_H-M_alt 'P n m a'
_space_group_IT_number 62
loop_
_space_group_symop_operation_xyz
'x,y,z'
'-x,-y,-z'
'-x+1/2,-y,z+1/2'
'x+1/2,y,-z+1/2'
'x+1/2,-y+1/2,-z+1/2'
'-x+1/2,y+1/2,z+1/2'
'-x,y+1/2,-z'
'x,-y+1/2,z'
loop_
_atom_site_label
_atom_site_fract_x
_atom_site_fract_y
_atom_site_fract_z
La1 0.057 0.113 0.080
La2 0.077 0.250 0.584
Pb1 0.000 0.000 0.500
O1 0.063 0.750 0.100
```

## Properties
Fermi-level density of states: 0.94 states/eV/atom
Uncorrected formation energy: -1311.4 meV per atom